Entry from Alexandria: a PBEsol-optimized structure of Li2AgAu (SCAN).

```
data_Li2AgAu
_chemical_formula_sum 'Li2 Ag1 Au1'
_cell_length_a 2.766
_cell_length_b 4.161
_cell_length_c 5.390
_cell_angle_alpha 90.00
_cell_angle_beta 90.00
_cell_angle_gamma 90.00
_space_group_name_H-M_alt 'P m m 2'
_space_group_IT_number 25
loop_
_space_group_symop_operation_xyz
'x,y,z'
'-x,-y,z'
'-x,y,z'
'x,-y,z'
loop_
_atom_site_label
_atom_site_fract_x
_atom_site_fract_y
_atom_site_fract_z
_atom_site_occupancy
Li1 0.000 0.000 0.000 1
Li2 0.500 0.500 0.291 1
Ag1 0.000 0.000 0.510 1
Au1 0.500 0.500 0.794 1
```

Properties
formation energy from the elements	-380	meV per atom
D(E_F)	0.9	states/eV/f.u.
energy relative to the lowest polymorph listed for this composition	0.24	eV per formula unit
total magnetic moment	0.0	Bohr magnetons per cell